Record 1
6
Lattice="0.000 3.749 3.749 3.749 0.000 3.749 3.749 3.749 0.000" Properties=species:S:1:pos:R:3 comment="PBE LuNbAl4, optimized geometry" delta_e_f_ev_per_fu=-2.39 dos_at_fermi_per_ev_cell=2.502 space_group="No. 216" pbc="T T T"
Lu 0.000 0.000 0.000
Nb 5.623 5.623 5.623
Al 2.814 2.814 2.814
Al 4.683 4.683 2.814
Al 4.683 2.814 4.683
Al 2.814 4.683 4.683

***

Record 2
5
Lattice="6.044 0.000 0.000 0.000 6.044 0.000 0.000 0.000 6.044" Properties=species:S:1:pos:R:3 comment="PBE In3BTe, optimized geometry" relative_energy_mev_per_atom=1196 dos_at_fermi_per_ev_cell=6.292 raw_formation_energy_ev_per_atom=1.46 space_group="No. 221" pbc="T T T"
In 0.000 0.000 3.022
In 0.000 3.022 0.000
In 3.022 0.000 0.000
B 3.022 3.022 3.022
Te 0.000 0.000 0.000

***

Record 3
4
Lattice="3.194 0.000 0.000 0.000 3.194 0.000 0.000 0.000 6.717" Properties=species:S:1:pos:R:3 comment="PBE CuW2Br, optimized geometry" relative_energy_mev_per_atom=416 dos_at_fermi_per_ev_cell=2.820 raw_formation_energy_ev_per_atom=0.94 space_group="No. 123" pbc="T T T"
Cu 0.000 0.000 0.000
W 1.597 1.597 1.243
W 1.597 1.597 5.474
Br 0.000 0.000 3.359

***

Record 4
9
Lattice="3.635 0.000 0.000 -1.818 3.148 0.000 0.000 0.000 27.458" Properties=species:S:1:pos:R:3 comment="PBE PrNd6Th2, optimized geometry" delta_e_f_ev_per_fu=0.70 dos_at_fermi_per_ev_cell=17.272 space_group="No. 187" pbc="T T T"
Pr 0.000 0.000 0.000
Nd 0.000 0.000 6.118
Nd 0.000 0.000 11.995
Nd 0.000 0.000 15.464
Nd 0.000 0.000 21.340
Nd 0.000 2.099 3.058
Nd 0.000 2.099 24.401
Th 0.000 2.099 9.091
Th 0.000 2.099 18.367

***

Record 5
6
Lattice="0.000 3.722 3.722 3.722 0.000 3.722 3.722 3.722 0.000" Properties=species:S:1:pos:R:3 comment="PBE MgCdP4, optimized geometry" delta_e_f_ev_per_fu=2.42 dos_at_fermi_per_ev_cell=4.067 space_group="No. 216" pbc="T T T"
Mg 0.000 0.000 0.000
Cd 1.861 1.861 1.861
P 4.661 2.784 2.784
P 2.784 4.661 2.784
P 2.784 2.784 4.661
P 4.661 4.661 4.661

***

Record 6
14
Lattice="4.746 -5.717 0.000 4.746 5.717 0.000 -4.668 0.000 5.600" Properties=species:S:1:pos:R:3 comment="PBE CsPtF5, optimized geometry" dos_at_fermi_per_ev_cell=2.321 raw_formation_energy_ev_per_atom=-1.81 space_group="No. 15" pbc="T T T"
Cs 1.244 4.435 4.200
Cs 3.578 -4.435 1.400
Pt 2.373 2.858 0.000
Pt 0.039 -2.858 2.800
F -0.821 2.187 4.477
F 3.578 3.605 1.400
F 2.015 1.087 0.782
F -0.319 -1.087 3.582
F 1.513 -2.187 1.677
F 3.310 2.187 3.923
F 5.142 1.087 2.017
F 2.808 -1.087 4.817
F 1.244 -3.605 4.200
F 5.644 -2.187 1.123

***

Record 7
18
Lattice="9.697 0.000 0.000 -4.849 8.398 0.000 0.000 0.000 7.163" Properties=species:S:1:pos:R:3 comment="PBE CaLa5Cd3, optimized geometry" delta_e_f_ev_per_fu=-1.72 dos_at_fermi_per_ev_cell=23.860 space_group="No. 193" pbc="T T T"
Ca 0.000 0.000 0.000
Ca 0.000 0.000 3.582
La -1.628 2.820 1.791
La -3.220 5.578 5.372
La 0.000 5.599 0.000
La 0.000 5.599 3.582
La 3.257 0.000 1.791
La 1.628 2.820 5.372
La 6.440 0.000 5.372
La 3.220 5.578 1.791
La 4.849 2.799 0.000
La 4.849 2.799 3.582
Cd -1.592 2.758 5.372
Cd -3.256 5.640 1.791
Cd 3.184 0.000 5.372
Cd 1.592 2.758 1.791
Cd 6.513 0.000 1.791
Cd 3.256 5.640 5.372

***

Record 8
5
Lattice="4.798 0.000 0.000 0.000 4.798 0.000 0.000 0.000 4.798" Properties=species:S:1:pos:R:3 comment="PBE CsGaRh3, optimized geometry" relative_energy_mev_per_atom=0 delta_e_f_ev_per_fu=3.50 dos_at_fermi_per_ev_cell=4.605 space_group="No. 221" pbc="T T T"
Cs 0.000 0.000 0.000
Ga 2.399 2.399 2.399
Rh 0.000 2.399 2.399
Rh 2.399 0.000 2.399
Rh 2.399 2.399 0.000

***

Computed values of total moment (unit: μB per atom) for the preceding records, in sequence: 0.000, 0.201, 0.000, 0.000, 0.000, 0.000, 0.000, 0.302.